VASP calculation (PBE) on a relaxed structure of Pm10SmDy6.

```
data_Pm10SmDy6
_chemical_formula_sum 'Pm10 Sm1 Dy6'
_symmetry_space_group_name_H-M 'P 1'
_symmetry_Int_Tables_number 1
_cell_length_a 6.900
_cell_length_b 9.818
_cell_length_c 9.818
_cell_angle_alpha 120.00
_cell_angle_beta 90.00
_cell_angle_gamma 90.00
loop_
_symmetry_equiv_pos_as_xyz
'x,y,z'
loop_
_atom_site_label
_atom_site_type_symbol
_atom_site_fract_x
_atom_site_fract_y
_atom_site_fract_z
_atom_site_occupancy
Pm1 Pm 0.816 0.725 0.725 1
Pm2 Pm 0.816 0.000 0.275 1
Pm3 Pm 0.816 0.275 0.000 1
Pm4 Pm 0.184 0.275 0.275 1
Pm5 Pm 0.184 0.000 0.725 1
Pm6 Pm 0.184 0.725 0.000 1
Pm7 Pm 0.500 0.333 0.667 1
Pm8 Pm 0.500 0.667 0.333 1
Pm9 Pm 0.000 0.667 0.333 1
Pm10 Pm 0.000 0.333 0.667 1
Sm1 Sm 0.500 0.000 0.000 1
Dy1 Dy 0.694 0.373 0.373 1
Dy2 Dy 0.694 0.000 0.627 1
Dy3 Dy 0.694 0.627 0.000 1
Dy4 Dy 0.306 0.627 0.627 1
Dy5 Dy 0.306 0.000 0.373 1
Dy6 Dy 0.306 0.373 0.000 1
```

calculated volume = 575.9 Å³/cell
D(E_F) = 24.82 states/eV/cell
energy relative to the elements = 0.128 eV/atom



VASP calculation (PBE) on a relaxed structure of Mg2ClO.

```
data_Mg2ClO
_chemical_formula_sum 'Mg4 Cl2 O2'
_symmetry_space_group_name_H-M 'P 1'
_symmetry_Int_Tables_number 1
_cell_length_a 5.530
_cell_length_b 5.530
_cell_length_c 6.362
_cell_angle_alpha 64.24
_cell_angle_beta 64.24
_cell_angle_gamma 90.00
loop_
_symmetry_equiv_pos_as_xyz
'x,y,z'
loop_
_atom_site_label
_atom_site_type_symbol
_atom_site_fract_x
_atom_site_fract_y
_atom_site_fract_z
_atom_site_occupancy
Mg1 Mg 0.521 0.125 0.250 1
Mg2 Mg 0.229 0.625 0.250 1
Mg3 Mg 0.375 0.479 0.750 1
Mg4 Mg 0.875 0.771 0.750 1
O1 O 0.500 0.500 0.000 1
O2 O 0.250 0.750 0.500 1
Cl1 Cl 0.000 0.000 0.000 1
Cl2 Cl 0.750 0.250 0.500 1
```

calculated volume = 153.5 Å³/cell
final energy = -16.541 eV/f.u.
D(E_F) = 1.84 states/eV/cell



VASP calculation (PBE) on a relaxed structure of Ac6Pr3Tm.

```
data_Ac6Pr3Tm
_chemical_formula_sum 'Ac6 Pr3 Tm1'
_symmetry_space_group_name_H-M 'P 1'
_symmetry_Int_Tables_number 1
_cell_length_a 7.355
_cell_length_b 9.938
_cell_length_c 7.053
_cell_angle_alpha 107.09
_cell_angle_beta 121.43
_cell_angle_gamma 90.00
loop_
_symmetry_equiv_pos_as_xyz
'x,y,z'
loop_
_atom_site_label
_atom_site_type_symbol
_atom_site_fract_x
_atom_site_fract_y
_atom_site_fract_z
_atom_site_occupancy
Ac1 Ac 0.445 0.300 0.388 1
Ac2 Ac 0.057 0.700 0.612 1
Ac3 Ac 0.555 0.700 0.612 1
Ac4 Ac 0.943 0.300 0.388 1
Ac5 Ac 0.373 0.087 0.747 1
Ac6 Ac 0.627 0.913 0.253 1
Pr1 Pr 0.945 0.335 0.889 1
Pr2 Pr 0.055 0.665 0.111 1
Pr3 Pr 0.000 0.000 0.000 1
Tm1 Tm 0.500 0.500 0.000 1
```

calculated volume = 413.0 Å³/cell
D(E_F) = 17.28 states/eV/cell
energy relative to the elements = 0.206 eV/atom



VASP calculation (PBE) on a relaxed structure of Er5InTe2.

```
data_Er5InTe2
_chemical_formula_sum 'Er10 In2 Te4'
_symmetry_space_group_name_H-M 'P 1'
_symmetry_Int_Tables_number 1
_cell_length_a 5.981
_cell_length_b 6.799
_cell_length_c 13.426
_cell_angle_alpha 90.00
_cell_angle_beta 90.00
_cell_angle_gamma 116.10
loop_
_symmetry_equiv_pos_as_xyz
'x,y,z'
loop_
_atom_site_label
_atom_site_type_symbol
_atom_site_fract_x
_atom_site_fract_y
_atom_site_fract_z
_atom_site_occupancy
Er1 Er 0.940 0.879 0.889 1
Er2 Er 0.940 0.879 0.611 1
Er3 Er 0.382 0.765 0.446 1
Er4 Er 0.382 0.765 0.054 1
Er5 Er 0.616 0.232 0.250 1
Er6 Er 0.384 0.768 0.750 1
Er7 Er 0.618 0.235 0.554 1
Er8 Er 0.618 0.235 0.946 1
Er9 Er 0.060 0.121 0.111 1
Er10 Er 0.060 0.121 0.389 1
In1 In 0.737 0.474 0.750 1
In2 In 0.263 0.526 0.250 1
Te1 Te 0.811 0.622 0.406 1
Te2 Te 0.811 0.622 0.094 1
Te3 Te 0.189 0.378 0.594 1
Te4 Te 0.189 0.378 0.906 1
```

calculated volume = 490.4 Å³/cell
final energy = -35.716 eV/f.u.
D(E_F) = 18.97 states/eV/cell



VASP calculation (PBE) on a relaxed structure of MgCdAs2.

```
data_MgCdAs2
_chemical_formula_sum 'Mg1 Cd1 As2'
_symmetry_space_group_name_H-M 'P 1'
_symmetry_Int_Tables_number 1
_cell_length_a 3.260
_cell_length_b 4.626
_cell_length_c 5.669
_cell_angle_alpha 90.00
_cell_angle_beta 90.00
_cell_angle_gamma 90.00
loop_
_symmetry_equiv_pos_as_xyz
'x,y,z'
loop_
_atom_site_label
_atom_site_type_symbol
_atom_site_fract_x
_atom_site_fract_y
_atom_site_fract_z
_atom_site_occupancy
As1 As 0.000 0.000 0.873 1
As2 As 0.500 0.500 0.377 1
Cd1 Cd 0.000 0.000 0.373 1
Mg1 Mg 0.500 0.500 0.877 1
```

calculated volume = 85.5 Å³/cell
D(E_F) = 1.69 states/eV/cell
energy relative to the elements = -0.109 eV/atom



VASP calculation (PBE) on a relaxed structure of PbAuC2O6.

```
data_PbAuC2O6
_chemical_formula_sum 'Pb1 Au1 C2 O6'
_symmetry_space_group_name_H-M 'P 1'
_symmetry_Int_Tables_number 1
_cell_length_a 5.208
_cell_length_b 5.208
_cell_length_c 6.607
_cell_angle_alpha 66.79
_cell_angle_beta 66.79
_cell_angle_gamma 60.00
loop_
_symmetry_equiv_pos_as_xyz
'x,y,z'
loop_
_atom_site_label
_atom_site_type_symbol
_atom_site_fract_x
_atom_site_fract_y
_atom_site_fract_z
_atom_site_occupancy
Pb1 Pb 0.000 0.000 0.000 1
Au1 Au 0.500 0.500 0.500 1
C1 C 0.756 0.756 0.732 1
C2 C 0.244 0.244 0.268 1
O1 O 0.010 0.511 0.735 1
O2 O 0.744 0.010 0.735 1
O3 O 0.489 0.256 0.265 1
O4 O 0.990 0.489 0.265 1
O5 O 0.256 0.990 0.265 1
O6 O 0.511 0.744 0.735 1
```

calculated volume = 138.2 Å³/cell
final energy = -64.744 eV/f.u.
D(E_F) = 6.04 states/eV/cell



VASP calculation (PBE) on a relaxed structure of CaCoW2.

```
data_CaCoW2
_chemical_formula_sum 'Ca1 Co1 W2'
_symmetry_space_group_name_H-M 'P 1'
_symmetry_Int_Tables_number 1
_cell_length_a 4.886
_cell_length_b 4.886
_cell_length_c 5.663
_cell_angle_alpha 76.25
_cell_angle_beta 76.25
_cell_angle_gamma 34.92
loop_
_symmetry_equiv_pos_as_xyz
'x,y,z'
loop_
_atom_site_label
_atom_site_type_symbol
_atom_site_fract_x
_atom_site_fract_y
_atom_site_fract_z
_atom_site_occupancy
Ca1 Ca 0.486 0.486 0.519 1
Co1 Co 0.723 0.723 0.824 1
W1 W 0.013 0.013 0.997 1
W2 W 0.278 0.278 0.160 1
```

calculated volume = 74.9 Å³/cell
D(E_F) = 3.26 states/eV/cell
energy relative to the elements = 0.674 eV/atom



VASP calculation (PBE) on a relaxed structure of Ce2Mg2Hg.

```
data_Ce2Mg2Hg
_chemical_formula_sum 'Ce2 Mg2 Hg1'
_symmetry_space_group_name_H-M 'P 1'
_symmetry_Int_Tables_number 1
_cell_length_a 3.235
_cell_length_b 5.205
_cell_length_c 7.947
_cell_angle_alpha 109.13
_cell_angle_beta 90.00
_cell_angle_gamma 90.00
loop_
_symmetry_equiv_pos_as_xyz
'x,y,z'
loop_
_atom_site_label
_atom_site_type_symbol
_atom_site_fract_x
_atom_site_fract_y
_atom_site_fract_z
_atom_site_occupancy
Ce1 Ce 0.500 0.409 0.817 1
Ce2 Ce 0.500 0.591 0.183 1
Mg1 Mg 0.000 0.800 0.599 1
Mg2 Mg 0.000 0.200 0.401 1
Hg1 Hg 0.000 0.000 0.000 1
```

calculated volume = 126.4 Å³/cell
D(E_F) = 10.19 states/eV/cell
energy relative to the elements = -0.119 eV/atom



- Which of these has the lowest D(E_F)?
  MgCdAs2



- Which value of calculated volume does entry 3 give?
  413.0 Å³/cell



- Among the records above, which one has the lowest calculated volume?
  CaCoW2